5
Lattice="5.053 0.000 0.000 0.000 5.053 0.000 0.000 0.000 5.003" Properties=species:S:1:pos:R:3 comment="Zr2MoIrO PBE+U optimized geometry" energy_ev_per_atom=-6.6870 vol_a3_per_cell=127.7 pbc="T T T"
Zr 0.000 2.526 0.000
Zr 2.526 0.000 0.000
Mo 0.000 0.000 2.501
Ir 0.000 0.000 0.000
O 2.526 2.526 2.501